NiO PBE with a Hubbard U optimized geometry; symmetry = Fddd, No. 70; energy = -4.50 eV/atom
1.0
-2.761 -9.857 -0.108
10.170 -2.840 -0.780
0.275 -0.121 4.029
Ni O
16 16
Cartesian
6.150 -8.234 2.371
4.836 -2.860 1.610
4.091 -4.969 -0.429
-2.375 -8.478 -0.092
-0.857 -3.610 1.976
-0.386 -1.379 -0.015
1.672 -4.644 2.785
0.154 -9.512 0.717
3.318 -7.728 -0.459
2.445 -1.886 2.815
2.848 -9.958 1.532
-1.629 -6.368 1.946
5.377 -10.993 2.341
0.927 -6.754 0.747
6.620 -6.004 0.380
7.393 -3.245 0.411
-0.811 -7.755 0.835
0.707 -2.887 2.904
6.575 -1.858 1.521
0.109 -5.367 1.857
7.115 -9.991 2.253
1.352 -0.378 -0.104
3.871 -1.103 1.728
5.654 -4.247 0.499
2.353 -5.971 -0.340
4.411 -9.236 2.460
3.411 -3.643 2.696
8.818 -2.463 -0.676
5.057 -6.726 -0.547
7.575 -7.451 1.285
8.358 -5.002 0.292
1.893 -8.511 0.628